Version 1
Density functional theory data (meta-GGA SCAN) for a crystal of LiPt2 relaxed with PBEsol.

The value obtained for the total moment is 0.000 μB per atom.

The structure belongs to space group Pnma (No. 62); the cell edges are 5.368, 3.858 and 8.107 Å and the angles 90.00°, 90.00° and 90.00°. The distinct sites, in fractional coordinates, are Li at (0.110, 0.250, 0.083), Pt at (0.110, 0.250, 0.410) and Pt at (0.154, 0.250, 0.746).

***

Version 2
Density functional theory data (meta-GGA SCAN) for a crystal of LiPt2 relaxed with PBEsol.

The value obtained for the total moment is 0.000 μB per atom.

The structure belongs to space group Fd-3m (No. 227, origin choice 2); the cell edges are 7.342, 7.342 and 7.342 Å and the angles 90.00°, 90.00° and 90.00°. The distinct sites, in fractional coordinates, are Li at (0.125, 0.125, 0.125) and Pt at (0.000, 0.000, 0.500).

***

Least stable structure: version 1

***

Version 1
Density functional theory data (meta-GGA SCAN) for a crystal of LiPt2 relaxed with PBEsol.

The value obtained for the total moment is 0.004 μB per atom.

The structure belongs to space group Cm (No. 8); the cell edges are 9.891, 2.705 and 6.609 Å and the angles 90.00°, 106.05° and 90.00°. The distinct sites, in fractional coordinates, are Li at (0.000, 0.000, 0.000), Li at (0.174, 0.500, 0.352), Pt at (0.060, 0.000, 0.628), Pt at (0.230, 0.500, 0.964), Pt at (0.334, 0.000, 0.672) and Pt at (0.394, 0.000, 0.288).

***

Version 2
Density functional theory data (meta-GGA SCAN) for a crystal of LiPt2 relaxed with PBEsol.

The value obtained for the total moment is 0.000 μB per atom.

The structure belongs to space group Immm (No. 71); the cell edges are 2.667, 3.928 and 8.051 Å and the angles 90.00°, 90.00° and 90.00°. The distinct sites, in fractional coordinates, are Li at (0.000, 0.000, 0.000) and Pt at (0.000, 0.000, 0.335).

***

Version 3
Density functional theory data (meta-GGA SCAN) for a crystal of LiPt2 relaxed with PBEsol.

The value obtained for the total moment is 0.000 μB per atom.

The structure belongs to space group P6_3/mmc (No. 194); the cell edges are 5.1915, 5.1915 and 16.9223 Å and the angles 90.00°, 90.00° and 120.00°. The distinct sites, in fractional coordinates, are Li at (0.0000, 0.0000, 0.0892), Li at (0.3333, 0.6667, 0.1554), Pt at (0.0000, 0.5000, 0.0000), Pt at (0.1632, 0.3263, 0.7500) and Pt at (0.3333, 0.6667, 0.6245).

***

Least stable structure: version 2

***

Version 1
Density functional theory data (meta-GGA SCAN) for a crystal of Li2Pt relaxed with PBEsol.

The value obtained for the total moment is 0.000 μB per atom.

The structure belongs to space group P-62m (No. 189); the cell edges are 7.3395, 7.3395 and 2.6575 Å and the angles 90.00°, 90.00° and 120.00°. The distinct sites, in fractional coordinates, are Li at (0.0000, 0.3037, 0.0000), Li at (0.0000, 0.6355, 0.5000), Pt at (0.0000, 0.0000, 0.5000) and Pt at (0.3333, 0.6667, 0.0000).

***

Version 2
Density functional theory data (meta-GGA SCAN) for a crystal of Li2Pt relaxed with PBEsol.

The value obtained for the total moment is 0.000 μB per atom.

The structure belongs to space group Immm (No. 71); the cell edges are 2.661, 3.921 and 7.744 Å and the angles 90.00°, 90.00° and 90.00°. The distinct sites, in fractional coordinates, are Li at (0.000, 0.000, 0.160) and Pt at (0.000, 0.000, 0.500).

***

Version 3
Density functional theory data (meta-GGA SCAN) for a crystal of Li2Pt relaxed with PBEsol.

The value obtained for the total moment is 0.000 μB per atom.

The structure belongs to space group I4/mcm (No. 140); the cell edges are 6.089, 6.089 and 5.227 Å and the angles 90.00°, 90.00° and 90.00°. The distinct sites, in fractional coordinates, are Li at (0.179, 0.321, 0.000) and Pt at (0.000, 0.000, 0.250).

***

Version 4
Density functional theory data (meta-GGA SCAN) for a crystal of Li2Pt relaxed with PBEsol.

The value obtained for the total moment is 0.000 μB per atom.

The structure belongs to space group P-3m1 (No. 164); the cell edges are 2.7402, 2.7402 and 6.7593 Å and the angles 90.00°, 90.00° and 120.00°. The distinct sites, in fractional coordinates, are Li at (0.3333, 0.6667, 0.1942) and Pt at (0.0000, 0.0000, 0.5000).

***

Least stable structure: version 4

***

Version 1
Density functional theory data (meta-GGA SCAN) for a crystal of Li2Pt relaxed with PBEsol.

The value obtained for the total moment is 0.000 μB per atom.

The structure belongs to space group Cmcm (No. 63); the cell edges are 2.674, 13.986 and 4.297 Å and the angles 90.00°, 90.00° and 90.00°. The distinct sites, in fractional coordinates, are Li at (0.000, 0.050, 0.250), Li at (0.000, 0.279, 0.750) and Pt at (0.000, 0.383, 0.250).

***

Version 2
Density functional theory data (meta-GGA SCAN) for a crystal of Li2Pt relaxed with PBEsol.

The value obtained for the total moment is 0.000 μB per atom.

The structure belongs to space group I4/mmm (No. 139); the cell edges are 3.006, 3.006 and 8.618 Å and the angles 90.00°, 90.00° and 90.00°. The distinct sites, in fractional coordinates, are Li at (0.000, 0.000, 0.158) and Pt at (0.000, 0.000, 0.500).

***

Version 3
Density functional theory data (meta-GGA SCAN) for a crystal of Li2Pt relaxed with PBEsol.

The value obtained for the total moment is 0.000 μB per atom.

The structure belongs to space group Pnma (No. 62); the cell edges are 5.190, 3.940 and 7.812 Å and the angles 90.00°, 90.00° and 90.00°. The distinct sites, in fractional coordinates, are Li at (0.108, 0.250, 0.243), Li at (0.137, 0.250, 0.581) and Pt at (0.133, 0.250, 0.912).

***

Least stable structure: version 3

***

Version 1
Density functional theory data (meta-GGA SCAN) for a crystal of Li5Pt relaxed with PBEsol.

The value obtained for the total moment is 0.003 μB per atom.

The structure belongs to space group Cm (No. 8); the cell edges are 10.366, 2.898 and 6.653 Å and the angles 90.00°, 108.09° and 90.00°. The distinct sites, in fractional coordinates, are Li at (0.000, 0.000, 0.000), Li at (0.033, 0.000, 0.619), Li at (0.168, 0.500, 0.325), Li at (0.300, 0.000, 0.719), Li at (0.358, 0.000, 0.220) and Pt at (0.189, 0.500, 0.938).

***

Version 2
Density functional theory data (meta-GGA SCAN) for a crystal of Li5Pt relaxed with PBEsol.

The value obtained for the total moment is 0.006 μB per atom.

The structure belongs to space group Cmmm (No. 65); the cell edges are 4.073, 11.084 and 4.054 Å and the angles 90.00°, 90.00° and 90.00°. The distinct sites, in fractional coordinates, are Li at (0.000, 0.000, 0.000), Li at (0.000, 0.153, 0.500), Li at (0.000, 0.353, 0.000) and Pt at (0.000, 0.500, 0.500).

***

Version 3
Density functional theory data (meta-GGA SCAN) for a crystal of Li5Pt relaxed with PBEsol.

The value obtained for the total moment is 0.009 μB per atom.

The structure belongs to space group Amm2 (No. 38); the cell edges are 4.419, 2.800 and 15.241 Å and the angles 90.00°, 90.00° and 90.00°. The distinct sites, in fractional coordinates, are Li at (0.000, 0.000, 0.000), Li at (0.000, 0.000, 0.292), Li at (0.500, 0.000, 0.198), Li at (0.500, 0.000, 0.557), Li at (0.500, 0.000, 0.880) and Pt at (0.000, 0.000, 0.647).

***

Version 4
Density functional theory data (meta-GGA SCAN) for a crystal of Li5Pt relaxed with PBEsol.

The value obtained for the total moment is 0.000 μB per atom.

The structure belongs to space group P-62m (No. 189); the cell edges are 4.8080, 4.8080 and 4.4528 Å and the angles 90.00°, 90.00° and 120.00°. The distinct sites, in fractional coordinates, are Li at (0.0000, 0.6956, 0.0000), Li at (0.3333, 0.6667, 0.5000) and Pt at (0.0000, 0.0000, 0.5000).

***

Least stable structure: version 3

***

Version 1
Density functional theory data (meta-GGA SCAN) for a crystal of LiRePt2 relaxed with PBEsol.

The value obtained for the total moment is 0.000 μB per atom.

The structure belongs to space group Imm2 (No. 44); the cell edges are 2.677, 4.241 and 10.863 Å and the angles 90.00°, 90.00° and 90.00°. The distinct sites, in fractional coordinates, are Li at (0.000, 0.000, 0.000), Re at (0.000, 0.500, 0.246), Pt at (0.000, 0.000, 0.546) and Pt at (0.000, 0.500, 0.820).

***

Version 2
Density functional theory data (meta-GGA SCAN) for a crystal of LiRePt2 relaxed with PBEsol.

The value obtained for the total moment is 0.436 μB per atom.

The structure belongs to space group I4/mmm (No. 139); the cell edges are 3.856, 3.856 and 7.480 Å and the angles 90.00°, 90.00° and 90.00°. The distinct sites, in fractional coordinates, are Li at (0.000, 0.000, 0.000), Re at (0.000, 0.000, 0.500) and Pt at (0.000, 0.500, 0.250).

***

Least stable structure: version 2

***

Version 1
Density functional theory data (meta-GGA SCAN) for a crystal of Li2PtRh relaxed with PBEsol.

The value obtained for the total moment is 0.001 μB per atom.

The structure belongs to space group I4/mmm (No. 139); the cell edges are 3.673, 3.673 and 7.932 Å and the angles 90.00°, 90.00° and 90.00°. The distinct sites, in fractional coordinates, are Li at (0.000, 0.500, 0.250), Pt at (0.000, 0.000, 0.000) and Rh at (0.000, 0.000, 0.500).

***

Version 2
Density functional theory data (meta-GGA SCAN) for a crystal of Li2PtRh relaxed with PBEsol.

The value obtained for the total moment is 0.049 μB per atom.

The structure belongs to space group P2/m (No. 10); the cell edges are 2.633, 4.280 and 4.696 Å and the angles 90.00°, 92.06° and 90.00°. The distinct sites, in fractional coordinates, are Li at (0.250, 0.000, 0.247), Pt at (0.000, 0.500, 0.500) and Rh at (0.500, 0.500, 0.000).

***

Least stable structure: version 1

***

Version 1
Density functional theory data (meta-GGA SCAN) for a crystal of Li2PtRh relaxed with PBEsol.

The value obtained for the total moment is 0.075 μB per atom.

The structure belongs to space group R-3m (No. 166, hexagonal axes); the cell edges are 2.6703, 2.6703 and 25.6144 Å and the angles 90.00°, 90.00° and 120.00°. The distinct sites, in fractional coordinates, are Li at (0.0000, 0.0000, 0.2491), Pt at (0.0000, 0.0000, 0.0000) and Rh at (0.0000, 0.0000, 0.5000).

***

Version 2
Density functional theory data (meta-GGA SCAN) for a crystal of Li2PtRh relaxed with PBEsol.

The value obtained for the total moment is 0.352 μB per atom.

The structure belongs to space group F-43m (No. 216); the cell edges are 5.981, 5.981 and 5.981 Å and the angles 90.00°, 90.00° and 90.00°. The distinct sites, in fractional coordinates, are Li at (0.000, 0.000, 0.000), Li at (0.250, 0.250, 0.250), Pt at (0.000, 0.000, 0.500) and Rh at (0.250, 0.250, 0.750).

***

Least stable structure: version 2

***

Version 1
Density functional theory data (meta-GGA SCAN) for a crystal of LiPt2Rh relaxed with PBEsol.

The value obtained for the total moment is 0.000 μB per atom.

The structure belongs to space group P4/mmm (No. 123); the cell edges are 3.797, 3.797 and 3.789 Å and the angles 90.00°, 90.00° and 90.00°. The distinct sites, in fractional coordinates, are Li at (0.000, 0.000, 0.000), Pt at (0.000, 0.500, 0.500) and Rh at (0.500, 0.500, 0.000).

***

Version 2
Density functional theory data (meta-GGA SCAN) for a crystal of LiPt2Rh relaxed with PBEsol.

The value obtained for the total moment is 0.000 μB per atom.

The structure belongs to space group Cmmm (No. 65); the cell edges are 5.378, 7.579 and 2.687 Å and the angles 90.00°, 90.00° and 90.00°. The distinct sites, in fractional coordinates, are Li at (0.000, 0.000, 0.000), Pt at (0.250, 0.250, 0.500) and Rh at (0.000, 0.500, 0.000).

***

Version 3
Density functional theory data (meta-GGA SCAN) for a crystal of LiPt2Rh relaxed with PBEsol.

The value obtained for the total moment is 0.000 μB per atom.

The structure belongs to space group Pmmm (No. 47); the cell edges are 2.689, 3.869 and 5.312 Å and the angles 90.00°, 90.00° and 90.00°. The distinct sites, in fractional coordinates, are Li at (0.000, 0.000, 0.000), Pt at (0.500, 0.500, 0.248) and Rh at (0.000, 0.000, 0.500).

***

Version 4
Density functional theory data (meta-GGA SCAN) for a crystal of LiPt2Rh relaxed with PBEsol.

The value obtained for the total moment is 0.003 μB per atom.

The structure belongs to space group P2/m (No. 10); the cell edges are 4.667, 2.679 and 4.704 Å and the angles 90.00°, 110.17° and 90.00°. The distinct sites, in fractional coordinates, are Li at (0.000, 0.000, 0.000), Pt at (0.500, 0.000, 0.500), Pt at (0.500, 0.500, 0.000) and Rh at (0.000, 0.500, 0.500).

***

Least stable structure: version 3